Compound: BeNiAg
Source: Alexandria
Functional: PBE-GGA
Structure: optimized geometry

The space group is P3m1 (No. 156) and the conventional cell measures 3.9311, 3.9311 and 2.7667 Å, with angles of 90.00, 90.00 and 120.00 degrees. The distinct sites, in fractional coordinates, are Be at (0.0000, 0.0000, 0.0000), Ni at (0.3333, 0.6667, 0.0248) and Ag at (0.6667, 0.3333, 0.5186).

Its excess energy over the best structure of this formula in the dataset is 0.1794 eV per atom. For the formation energy, the calculation gives 0.134 eV per atom.

Compound: NaMgSbAu
Source: Alexandria
Functional: PBE-GGA
Structure: optimized geometry

The space group is F-43m (No. 216) and the conventional cell measures 7.052, 7.052 and 7.052 Å, with angles of 90.00, 90.00 and 90.00 degrees. The distinct sites, in fractional coordinates, are Na at (0.000, 0.000, 0.000), Mg at (0.000, 0.000, 0.500), Sb at (0.250, 0.250, 0.250) and Au at (0.250, 0.250, 0.750).

Its raw formation energy is -0.289 eV per atom.

Compound: Li2MgZrSb
Source: Alexandria
Functional: PBE-GGA
Structure: optimized geometry

The space group is P4/mmm (No. 123) and the conventional cell measures 4.914, 4.914 and 5.541 Å, with angles of 90.00, 90.00 and 90.00 degrees. The distinct sites, in fractional coordinates, are Li at (0.000, 0.500, 0.000), Mg at (0.000, 0.000, 0.500), Zr at (0.500, 0.500, 0.500) and Sb at (0.500, 0.500, 0.000).

Its raw formation energy is 0.108 eV per atom.

Compound: ScBr2
Source: Alexandria
Functional: PBE-GGA
Structure: optimized geometry

The space group is P4_2/mnm (No. 136) and the conventional cell measures 6.755, 6.755 and 3.748 Å, with angles of 90.00, 90.00 and 90.00 degrees. The distinct sites, in fractional coordinates, are Sc at (0.000, 0.000, 0.000) and Br at (0.209, 0.209, 0.500).

Its raw formation energy is -1.416 eV per atom.

Compound: LaSb2Te2
Source: Alexandria
Functional: PBE-GGA
Structure: optimized geometry

The space group is I4/mmm (No. 139) and the conventional cell measures 4.226, 4.226 and 18.886 Å, with angles of 90.00, 90.00 and 90.00 degrees. The distinct sites, in fractional coordinates, are La at (0.000, 0.000, 0.000), Sb at (0.000, 0.500, 0.250) and Te at (0.000, 0.000, 0.417).

Its excess energy over the best structure of this formula in the dataset is 0.0000 eV per atom. Its raw formation energy is -0.526 eV per atom.

Compound: Na2InSnHg5
Source: Alexandria
Functional: PBE-GGA
Structure: optimized geometry

The space group is I4/mcm (No. 140) and the conventional cell measures 7.893, 7.893 and 15.945 Å, with angles of 90.00, 90.00 and 90.00 degrees. The distinct sites, in fractional coordinates, are Na at (0.127, 0.373, 0.000), In at (0.000, 0.500, 0.250), Sn at (0.000, 0.000, 0.250), Hg at (0.000, 0.000, 0.000) and Hg at (0.213, 0.287, 0.356).

For the formation energy, the calculation gives -0.021 eV per atom.

Compound: Nd4Sm5Y4
Source: Alexandria
Functional: PBE-GGA
Structure: optimized geometry

The space group is I4/m (No. 87) and the conventional cell measures 13.105, 13.105 and 5.113 Å, with angles of 90.00, 90.00 and 90.00 degrees. The distinct sites, in fractional coordinates, are Nd at (0.077, 0.617, 0.000), Sm at (0.000, 0.000, 0.000), Sm at (0.039, 0.809, 0.500) and Y at (0.154, 0.231, 0.000).

For the formation energy, the calculation gives 0.014 eV per atom.

Compound: Mn4AgMo
Source: Alexandria
Functional: PBE-GGA
Structure: optimized geometry

The space group is F-43m (No. 216) and the conventional cell measures 6.739, 6.739 and 6.739 Å, with angles of 90.00, 90.00 and 90.00 degrees. The distinct sites, in fractional coordinates, are Mn at (0.124, 0.124, 0.376), Ag at (0.250, 0.250, 0.750) and Mo at (0.000, 0.000, 0.000).

For the formation energy, the calculation gives 0.224 eV per atom.

Compound: BeFeIr4
Source: Alexandria
Functional: PBE-GGA
Structure: optimized geometry

The space group is F-43m (No. 216) and the conventional cell measures 7.228, 7.228 and 7.228 Å, with angles of 90.00, 90.00 and 90.00 degrees. The distinct sites, in fractional coordinates, are Be at (0.000, 0.000, 0.000), Fe at (0.250, 0.250, 0.750) and Ir at (0.125, 0.125, 0.375).

For the formation energy, the calculation gives 0.557 eV per atom.

Compound: LiYbO2
Source: Alexandria
Functional: PBE-GGA
Structure: optimized geometry

The space group is I4_1/amd (No. 141, origin choice 2) and the conventional cell measures 4.537, 4.537 and 9.006 Å, with angles of 90.00, 90.00 and 90.00 degrees. The distinct sites, in fractional coordinates, are Li at (0.000, 0.250, 0.375), Yb at (0.000, 0.250, 0.875) and O at (0.000, 0.250, 0.132).

Its raw formation energy is -2.131 eV per atom.

Compound: La2BeCd
Source: Alexandria
Functional: PBE-GGA
Structure: optimized geometry

The space group is P4/mmm (No. 123) and the conventional cell measures 3.713, 3.713 and 7.707 Å, with angles of 90.00, 90.00 and 90.00 degrees. The distinct sites, in fractional coordinates, are La at (0.000, 0.000, 0.215), Be at (0.500, 0.500, 0.000) and Cd at (0.500, 0.500, 0.500).

Its excess energy over the best structure of this formula in the dataset is 0.0000 eV per atom. For the formation energy, the calculation gives -0.069 eV per atom.

Compound: RbNdCdBr6
Source: Alexandria
Functional: PBE-GGA
Structure: optimized geometry

The space group is P-31c (No. 163) and the conventional cell measures 7.4460, 7.4460 and 15.1985 Å, with angles of 90.00, 90.00 and 120.00 degrees. The distinct sites, in fractional coordinates, are Rb at (0.0000, 0.0000, 0.0000), Nd at (0.3333, 0.6667, 0.2500), Cd at (0.3333, 0.6667, 0.7500) and Br at (0.0089, 0.3810, 0.6403).

Its raw formation energy is -1.521 eV per atom.

Compound: LiSbIr
Source: Alexandria
Functional: PBE-GGA
Structure: optimized geometry

The space group is I4mm (No. 107) and the conventional cell measures 3.422, 3.422 and 8.277 Å, with angles of 90.00, 90.00 and 90.00 degrees. The distinct sites, in fractional coordinates, are Li at (0.000, 0.000, 0.000), Sb at (0.000, 0.000, 0.324) and Ir at (0.000, 0.000, 0.666).

Its raw formation energy is -0.291 eV per atom.